{
  "formula": "K2PrScS4",
  "functional": "PBE-GGA",
  "state": "relaxed",
  "space_group": "P2/m, No. 10",
  "final_energy_ev_per_atom": -5.49,
  "crystal_system": "monoclinic",
  "magnetic_moment_mub_per_cell": 0.00,
  "lattice_angstrom": [[7.003, 0.000, 0.000], [0.000, 4.047, 0.000], [-2.330, 0.000, 7.361]],
  "species": ["K", "K", "Pr", "Sc", "S", "S", "S", "S"],
  "frac_coords": [[0.000, 0.000, 0.000], [0.500, 0.500, 0.000], [0.000, 0.500, 0.500], [0.500, 0.000, 0.500], [0.256, 0.000, 0.704], [0.287, 0.500, 0.304], [0.713, 0.500, 0.696], [0.744, 0.000, 0.296]]
}



{
  "formula": "BaIn2Tc",
  "functional": "PBE-GGA",
  "state": "relaxed",
  "space_group": "R-3m, No. 166",
  "final_energy_ev_per_atom": -4.27,
  "crystal_system": "trigonal",
  "delta_e_f_ev_per_fu": 0.69,
  "magnetic_moment_mub_per_cell": 1.70,
  "e_above_lowest_polymorph_mev_per_atom": 40,
  "lattice_angstrom": [[4.667, 0.000, 0.000], [-2.333, 4.042, 0.000], [0.000, 0.000, 18.705]],
  "species": ["Ba", "Ba", "Ba", "In", "In", "In", "In", "In", "In", "Tc", "Tc", "Tc"],
  "frac_coords": [[0.000, 0.000, 0.000], [0.333, 0.667, 0.667], [0.667, 0.333, 0.333], [0.000, 0.000, 0.207], [0.000, 0.000, 0.793], [0.333, 0.667, 0.459], [0.333, 0.667, 0.874], [0.667, 0.333, 0.126], [0.667, 0.333, 0.541], [0.000, 0.000, 0.500], [0.333, 0.667, 0.167], [0.667, 0.333, 0.833]]
}



{
  "formula": "AcSmHg3",
  "functional": "PBE-GGA",
  "state": "relaxed",
  "space_group": "Cmcm, No. 63",
  "final_energy_ev_per_atom": -2.40,
  "crystal_system": "orthorhombic",
  "delta_e_f_ev_per_fu": -2.25,
  "magnetic_moment_mub_per_cell": 0.00,
  "lattice_angstrom": [[1.925, -14.919, 0.000], [1.925, 14.919, 0.000], [0.000, 0.000, 5.051]],
  "species": ["Ac", "Ac", "Sm", "Sm", "Hg", "Hg", "Hg", "Hg", "Hg", "Hg"],
  "frac_coords": [[0.076, 0.924, 0.750], [0.924, 0.076, 0.250], [0.209, 0.791, 0.250], [0.791, 0.209, 0.750], [0.316, 0.684, 0.250], [0.376, 0.624, 0.750], [0.475, 0.525, 0.750], [0.525, 0.475, 0.250], [0.624, 0.376, 0.250], [0.684, 0.316, 0.750]]
}